1.
This record from OQMD describes a relaxed Tm4TlC2S crystal. The functional is PBE.

Cell: 3.6031 3.6031 14.3662 Å, 90.00 90.00 120.00°
Fractional positions:
S  0.0000  0.0000  0.5000
Tl  0.3333  0.6667  0.0000
Tm  0.0000  0.0000  0.1878
C  0.6667  0.3333  0.2778
Tm  0.3333  0.6667  0.6294
Tm  0.0000  0.0000  0.8122
Tm  0.3333  0.6667  0.3706
C  0.6667  0.3333  0.7222

## Properties
Symmetry: P-6m2


2.
This record from OQMD describes a relaxed TlW4C2S crystal. The functional is PBE.

Cell: 3.1754 3.1754 13.0558 Å, 90.00 90.00 120.00°
Fractional positions:
C  0.3333  0.6667  0.2318
S  0.0000  0.0000  0.0000
Tl  0.6667  0.3333  0.5000
W  0.6667  0.3333  0.8557
C  0.3333  0.6667  0.7682
W  0.6667  0.3333  0.1443
W  0.0000  0.0000  0.3129
W  0.0000  0.0000  0.6871

## Properties
Symmetry: P-6m2


3.
This record from OQMD describes a relaxed Zr4TlC2S crystal. The functional is PBE.

Cell: 3.4108 3.4108 13.6479 Å, 90.00 90.00 120.00°
Fractional positions:
Zr  0.0000  0.0000  0.6845
C  0.3333  0.6667  0.2274
Zr  0.6667  0.3333  0.8655
Zr  0.0000  0.0000  0.3155
Zr  0.6667  0.3333  0.1345
Tl  0.6667  0.3333  0.5000
S  0.0000  0.0000  0.0000
C  0.3333  0.6667  0.7726

## Properties
Symmetry: P-6m2


4.
This record from OQMD describes a relaxed Zr4TlC2S crystal. The functional is PBE.

Cell: 3.4108 3.4108 13.6478 Å, 90.00 90.00 120.00°
Fractional positions:
C  0.3333  0.6667  0.2726
S  0.6667  0.3333  0.5000
Tl  0.0000  0.0000  0.0000
C  0.3333  0.6667  0.7274
Zr  0.6667  0.3333  0.8155
Zr  0.0000  0.0000  0.3655
Zr  0.6667  0.3333  0.1845
Zr  0.0000  0.0000  0.6345

## Properties
Symmetry: P-6m2


no.,final energy (eV/cell)
1,-49.73
2,-74.42
3,-67.03
4,-67.03